# Pm2YTl

A relaxed Pm2YTl crystal (PBE, the Alexandria database).

- magnetic moment (μB/f.u.) = 0.0
- SG = P4/mmm
- Fermi-level density of states (states/eV/atom) = 1.44
- crystal system = tetragonal
- ΔH_f (0 K) (kcal/mol of atoms) = -3.528
- energy above the most stable polymorph in this dataset (meV per atom) = 48
- raw total energy (eV per cell) = -18.94

extended XYZ file:
```
4
Lattice="3.670 0.000 0.000 0.000 3.670 0.000 0.000 0.000 9.438" Properties=species:S:1:pos:R:3 pbc="T T T"
Pm 0.000 0.000 2.157
Pm 0.000 0.000 7.282
Y 1.835 1.835 4.719
Tl 1.835 1.835 0.000
```



# CaBi2Pt

A relaxed CaBi2Pt crystal (PBE, the Alexandria database).

- magnetic moment (μB/f.u.) = 0.0
- SG = Fm-3m
- Fermi-level density of states (states/eV/atom) = 0.63
- crystal system = cubic
- ΔH_f (0 K) (kcal/mol of atoms) = -5.958
- raw total energy (eV per cell) = -67.35

extended XYZ file:
```
16
Lattice="7.388 0.000 0.000 0.000 7.388 0.000 0.000 0.000 7.388" Properties=species:S:1:pos:R:3 pbc="T T T"
Ca 0.000 0.000 0.000
Ca 0.000 3.694 3.694
Ca 3.694 0.000 3.694
Ca 3.694 3.694 0.000
Bi 1.847 1.847 1.847
Bi 1.847 1.847 5.541
Bi 1.847 5.541 1.847
Bi 1.847 5.541 5.541
Bi 5.541 1.847 1.847
Bi 5.541 1.847 5.541
Bi 5.541 5.541 1.847
Bi 5.541 5.541 5.541
Pt 0.000 0.000 3.694
Pt 0.000 3.694 0.000
Pt 3.694 0.000 0.000
Pt 3.694 3.694 3.694
```



# Cs2LaCu2Te4

A relaxed Cs2LaCu2Te4 crystal (PBE, the Alexandria database).

- magnetic moment (μB/f.u.) = 0.0
- SG = C2/m
- Fermi-level density of states (states/eV/atom) = 0.64
- crystal system = monoclinic
- ΔE_f (raw) (eV per formula unit) = -7.90
- raw total energy (eV per cell) = -35.29

extended XYZ file:
```
9
Lattice="8.441 -2.261 0.000 8.441 2.261 0.000 -2.886 0.000 8.523" Properties=species:S:1:pos:R:3 pbc="T T T"
Cs 2.123 0.000 0.572
Cs 11.873 0.000 7.951
La -1.443 0.000 4.261
Cu 4.113 0.000 4.474
Cu 9.883 0.000 4.048
Te 1.578 0.000 5.451
Te 6.014 0.000 6.308
Te 7.982 0.000 2.215
Te 12.418 0.000 3.072
```



# Sm3TlGa

A relaxed Sm3TlGa crystal (PBE, the Alexandria database).

- magnetic moment (μB/f.u.) = 0.0
- SG = Cmcm
- Fermi-level density of states (states/eV/atom) = 1.15
- crystal system = orthorhombic
- ΔH_f (0 K) (kcal/mol of atoms) = -5.205
- energy above the most stable polymorph in this dataset (meV per atom) = 117
- raw total energy (eV per cell) = -41.36

extended XYZ file:
```
10
Lattice="2.216 -6.732 0.000 2.216 6.732 0.000 0.000 0.000 10.674" Properties=species:S:1:pos:R:3 pbc="T T T"
Sm 2.216 5.155 8.005
Sm 2.216 2.124 6.087
Sm 2.216 2.124 9.923
Sm 2.216 -2.124 0.751
Sm 2.216 -2.124 4.586
Sm 2.216 -5.155 2.668
Tl 0.000 0.000 0.000
Tl 0.000 0.000 5.337
Ga 2.216 3.653 2.668
Ga 2.216 -3.653 8.005
```



# SrMgRe

A relaxed SrMgRe crystal (PBE, the Alexandria database).

- magnetic moment (μB/f.u.) = 1.2
- SG = I4mm
- Fermi-level density of states (states/eV/atom) = 1.13
- crystal system = tetragonal
- ΔH_f (0 K) (kcal/mol of atoms) = 19.717
- energy above the most stable polymorph in this dataset (meV per atom) = 96
- raw total energy (eV per cell) = -26.32

extended XYZ file:
```
6
Lattice="3.531 0.000 0.000 0.000 3.531 0.000 0.000 0.000 11.614" Properties=species:S:1:pos:R:3 pbc="T T T"
Sr 0.000 0.000 0.000
Sr 1.766 1.766 5.807
Mg 0.000 0.000 3.223
Mg 1.766 1.766 9.030
Re 0.000 0.000 7.901
Re 1.766 1.766 2.094
```



# CdGe2Pd

A relaxed CdGe2Pd crystal (PBE, the Alexandria database).

- magnetic moment (μB/f.u.) = 0.0
- SG = I-42d
- Fermi-level density of states (states/eV/atom) = 0.50
- crystal system = tetragonal
- ΔH_f (0 K) (kcal/mol of atoms) = -0.142
- raw total energy (eV per cell) = -61.47

extended XYZ file:
```
16
Lattice="4.240 0.000 0.000 0.000 4.240 0.000 0.000 0.000 17.521" Properties=species:S:1:pos:R:3 pbc="T T T"
Cd 0.000 0.000 0.000
Cd 0.000 2.120 4.380
Cd 2.120 0.000 13.141
Cd 2.120 2.120 8.761
Ge 0.846 1.060 10.951
Ge 1.060 2.966 15.331
Ge 1.060 3.394 6.571
Ge 1.274 1.060 2.190
Ge 2.966 3.180 2.190
Ge 3.180 0.846 6.571
Ge 3.180 1.274 15.331
Ge 3.394 3.180 10.951
Pd 0.000 0.000 8.761
Pd 0.000 2.120 13.141
Pd 2.120 0.000 4.380
Pd 2.120 2.120 0.000
```



# Na2PrZnSb2

A relaxed Na2PrZnSb2 crystal (PBE, the Alexandria database).

- magnetic moment (μB/f.u.) = 0.0
- SG = Pmc2_1
- Fermi-level density of states (states/eV/atom) = 0.45
- crystal system = orthorhombic
- ΔE_f (raw) (eV per formula unit) = -3.31
- raw total energy (eV per cell) = -40.49

extended XYZ file:
```
12
Lattice="4.595 0.000 0.000 0.000 8.916 0.000 0.000 0.000 8.188" Properties=species:S:1:pos:R:3 pbc="T T T"
Na 0.000 0.831 0.000
Na 0.000 8.085 4.094
Na 2.298 1.349 2.704
Na 2.298 7.567 6.799
Pr 2.298 4.207 7.987
Pr 2.298 4.708 3.893
Zn 0.000 2.880 5.153
Zn 0.000 6.036 1.059
Sb 0.000 3.371 1.956
Sb 0.000 5.545 6.051
Sb 2.298 1.625 5.894
Sb 2.298 7.291 1.800
```



# InOsAu2Cl

A relaxed InOsAu2Cl crystal (PBE, the Alexandria database).

- magnetic moment (μB/f.u.) = 4.2
- SG = P4/mmm
- Fermi-level density of states (states/eV/atom) = 1.06
- crystal system = tetragonal
- ΔE_f (raw) (eV per formula unit) = 7.27
- raw total energy (eV per cell) = -15.10

extended XYZ file:
```
5
Lattice="5.227 0.000 0.000 0.000 5.227 0.000 0.000 0.000 5.117" Properties=species:S:1:pos:R:3 pbc="T T T"
In 0.000 0.000 0.000
Os 2.614 2.614 2.559
Au 0.000 2.614 0.000
Au 2.614 0.000 0.000
Cl 0.000 0.000 2.559
```



# IrPb2

A relaxed IrPb2 crystal (PBE, the Alexandria database).

- magnetic moment (μB/f.u.) = 0.0
- SG = Immm
- Fermi-level density of states (states/eV/atom) = 0.71
- crystal system = orthorhombic
- ΔH_f (0 K) (kcal/mol of atoms) = 5.114
- raw total energy (eV per cell) = -31.22

extended XYZ file:
```
6
Lattice="3.242 0.000 0.000 0.000 3.466 0.000 0.000 0.000 13.179" Properties=species:S:1:pos:R:3 pbc="T T T"
Ir 0.000 0.000 0.000
Ir 1.621 1.733 6.590
Pb 0.000 0.000 4.849
Pb 0.000 0.000 8.330
Pb 1.621 1.733 1.741
Pb 1.621 1.733 11.438
```



# Tb2As2Rh3

A relaxed Tb2As2Rh3 crystal (PBE, the Alexandria database).

- magnetic moment (μB/f.u.) = 0.0
- SG = C2/m
- Fermi-level density of states (states/eV/atom) = 0.81
- crystal system = monoclinic
- ΔH_f (0 K) (kcal/mol of atoms) = -21.455
- raw total energy (eV per cell) = -94.25

extended XYZ file:
```
14
Lattice="10.310 0.000 0.000 0.000 3.878 0.000 -2.815 0.000 6.426" Properties=species:S:1:pos:R:3 pbc="T T T"
Tb 0.546 0.000 1.699
Tb 1.795 1.939 4.727
Tb 5.700 1.939 1.699
Tb 6.949 0.000 4.727
As -0.413 0.000 4.635
As 2.753 1.939 1.791
As 4.741 1.939 4.635
As 7.908 0.000 1.791
Rh -1.407 1.939 3.213
Rh -1.340 1.939 6.023
Rh 3.680 0.000 0.403
Rh 3.747 0.000 3.213
Rh 3.815 0.000 6.023
Rh 8.835 1.939 0.403
```



# MoAs2

A relaxed MoAs2 crystal (PBE, the Alexandria database).

- magnetic moment (μB/f.u.) = 0.0
- SG = P-3m1
- Fermi-level density of states (states/eV/atom) = 0.57
- crystal system = trigonal
- ΔH_f (0 K) (kcal/mol of atoms) = -2.686
- raw total energy (eV per cell) = -20.48

extended XYZ file:
```
3
Lattice="3.256 0.000 0.000 -1.628 2.820 0.000 0.000 0.000 5.771" Properties=species:S:1:pos:R:3 pbc="T T T"
Mo 0.000 0.000 0.000
As 0.000 1.880 1.747
As 1.628 0.940 4.024
```



# SrPrTlBr6

A relaxed SrPrTlBr6 crystal (PBE, the Alexandria database).

- magnetic moment (μB/f.u.) = 0.0
- SG = P-31c
- Fermi-level density of states (states/eV/atom) = 0.00
- crystal system = trigonal
- ΔE_f (raw) (eV per formula unit) = -15.68
- raw total energy (eV per cell) = -69.09

extended XYZ file:
```
18
Lattice="7.822 0.000 0.000 -3.911 6.774 0.000 0.000 0.000 14.157" Properties=species:S:1:pos:R:3 pbc="T T T"
Sr 0.000 4.516 3.539
Sr 3.911 2.258 10.618
Pr 0.000 4.516 10.618
Pr 3.911 2.258 3.539
Tl 0.000 0.000 0.000
Tl 0.000 0.000 7.078
Br -1.344 2.509 8.950
Br -2.411 4.355 12.285
Br 1.344 2.509 12.285
Br -1.066 6.684 8.950
Br 2.845 0.090 1.872
Br 1.500 2.418 5.207
Br 2.411 4.355 8.950
Br 1.066 6.684 12.285
Br 4.977 0.090 5.207
Br 2.567 4.265 1.872
Br 6.321 2.418 1.872
Br 5.255 4.265 5.207
```



The highest Fermi-level density of states belongs to which entry?
Pm2YTl



Among the records above, which one has the lowest raw total energy?
Tb2As2Rh3